# 1
KBa2Sr after structural relaxation. Source: Alexandria, functional GGA-PBEsol.

As for the space group: Pm. The calculation puts the energy of formation at 0.34 eV per formula unit.

Cell: 4.208 6.996 8.130 Å, 90.00 99.24 90.00°
Element x y z (fractional)
Sr 0.278 0.500 0.758
K 0.492 0.000 0.501
Ba 0.999 0.000 0.997
Ba 0.731 0.500 0.244



# 2
LiTi5Te10 after structural relaxation. Source: Alexandria, functional GGA-PBEsol.

The formation energy from raw total energies comes out at -0.741 eV/atom. As for the space group: P-1.

Cell: 6.473 7.636 9.294 Å, 109.60 110.59 89.79°
Element x y z (fractional)
Li 0.000 0.500 0.000
Ti 0.706 0.399 0.400
Ti 0.294 0.601 0.600
Ti 0.500 0.000 0.000
Ti 0.895 0.795 0.798
Ti 0.105 0.205 0.202
Te 0.292 0.646 0.903
Te 0.485 0.046 0.303
Te 0.676 0.439 0.696
Te 0.886 0.854 0.108
Te 0.087 0.244 0.503
Te 0.114 0.146 0.892
Te 0.324 0.561 0.304
Te 0.515 0.954 0.697
Te 0.708 0.354 0.097
Te 0.913 0.756 0.497



# 3
NaReS2 after structural relaxation. Source: Alexandria, functional GGA-PBEsol.

The formation energy from raw total energies comes out at -0.272 eV/atom. As for the space group: R-3m.

Cell: 3.217 3.217 8.671 Å, 79.31 79.31 60.00°
Element x y z (fractional)
Re 0.500 0.500 0.500
S 0.894 0.894 0.319
S 0.106 0.106 0.681
Na 0.000 0.000 0.000



# 4
MnAl2Pb after structural relaxation. Source: Alexandria, functional GGA-PBEsol.

As for the space group: R3m. The calculation puts the energy of formation at 1.38 eV per formula unit.

Cell: 3.122 3.122 9.016 Å, 80.03 80.03 60.00°
Site moments in Bohr magnetons follow the coordinates.
Element x y z (fractional)
Pb 0.245 0.245 0.266  -0.03
Mn 0.492 0.492 0.524  3.17
Al 0.008 0.008 0.976  0.01
Al 0.755 0.755 0.734  -0.03



# 5
InOsSeO2 after structural relaxation. Source: Alexandria, functional GGA-PBEsol.

The formation energy from raw total energies comes out at 0.757 eV/atom. As for the space group: P4/mmm.

Cell: 3.822 3.822 6.035 Å, 90.00 90.00 90.00°
Site moments in Bohr magnetons follow the coordinates.
Element x y z (fractional)
Os 0.000 0.000 0.500  1.17
O 0.000 0.500 0.000  0.24
O 0.500 0.000 0.000  0.24
Se 0.500 0.500 0.500  -0.01
In 0.000 0.000 0.000  0.01



# 6
Li4Te after structural relaxation. Source: Alexandria, functional GGA-PBEsol.

The formation energy from raw total energies comes out at -0.238 eV/atom. As for the space group: I4/mmm.

Cell: 3.872 3.872 7.618 Å, 104.72 104.72 90.00°
Element x y z (fractional)
Te 0.000 0.000 0.000
Li 0.750 0.250 0.500
Li 0.250 0.750 0.500
Li 0.585 0.585 0.171
Li 0.415 0.415 0.829



# 7
FeIr2 after structural relaxation. Source: Alexandria, functional GGA-PBEsol.

As for the space group: P4/mmm. The calculation puts the energy of formation at 1.85 eV per formula unit.

Cell: 2.811 3.978 3.978 Å, 90.00 90.00 90.00°
Site moments in Bohr magnetons follow the coordinates.
Element x y z (fractional)
Fe 0.000 0.000 0.000  2.06
Ir 0.500 0.000 0.500  0.22
Ir 0.500 0.500 0.000  0.22



# 8
ScAlIn2 after structural relaxation. Source: Alexandria, functional GGA-PBEsol.

As for the space group: I4/mmm. The calculation puts the energy of formation at -1.27 eV per formula unit.

Cell: 4.200 4.200 5.507 Å, 112.42 112.42 90.00°
Element x y z (fractional)
Sc 0.000 0.000 0.000
Al 0.500 0.500 0.000
In 0.750 0.250 0.500
In 0.250 0.750 0.500



# 9
AlCuAg3 after structural relaxation. Source: Alexandria, functional GGA-PBEsol.

As for the space group: Pm-3m. The calculation puts the energy of formation at 3.52 eV per formula unit.

Cell: 4.660 4.660 4.660 Å, 90.00 90.00 90.00°
Element x y z (fractional)
Cu 0.000 0.000 0.000
Ag 0.000 0.500 0.000
Ag 0.000 0.000 0.500
Ag 0.500 0.000 0.000
Al 0.500 0.500 0.500



# 10
InCuAs2 after structural relaxation. Source: Alexandria, functional GGA-PBEsol.

As for the space group: P4/mmm. The calculation puts the energy of formation at 0.75 eV per formula unit.

Cell: 3.167 3.167 7.514 Å, 90.00 90.00 90.00°
Element x y z (fractional)
As 0.000 0.000 0.816
As 0.000 0.000 0.184
Cu 0.500 0.500 0.000
In 0.500 0.500 0.500



# 11
YIn4Ir after structural relaxation. Source: Alexandria, functional GGA-PBEsol.

As for the space group: F-43m. The calculation puts the energy of formation at 1.56 eV per formula unit.

Cell: 5.732 5.732 5.732 Å, 60.00 60.00 60.00°
Element x y z (fractional)
In 0.375 0.375 0.375
In 0.375 0.375 0.874
In 0.874 0.375 0.375
In 0.375 0.874 0.375
Ir 0.750 0.750 0.750
Y 0.000 0.000 0.000



# 12
K2ScP after structural relaxation. Source: Alexandria, functional GGA-PBEsol.

As for the space group: P4mm. The calculation puts the energy of formation at -1.52 eV per formula unit.

Cell: 3.663 3.663 10.422 Å, 90.00 90.00 90.00°
Site moments in Bohr magnetons follow the coordinates.
Element x y z (fractional)
K 0.000 0.000 0.938  0.01
K 0.500 0.500 0.318  0.00
P 0.000 0.000 0.605  -0.01
Sc 0.500 0.500 0.640  0.16



# 13
K3NbHOF7 after structural relaxation. Source: Alexandria, functional GGA-PBEsol.

As for the space group: C2/c. Its calculated total energy is -5.551 eV/atom.

Cell: 6.865 8.255 8.255 Å, 115.51 92.17 92.17°
Site moments in Bohr magnetons follow the coordinates.
Element x y z (fractional)
K 0.750 0.657 0.343  0.00
K 0.250 0.343 0.657  0.00
K 0.278 0.873 0.673  0.00
K 0.222 0.327 0.127  0.00
K 0.722 0.127 0.327  0.00
K 0.778 0.673 0.873  0.00
Nb 0.750 0.166 0.834  0.01
Nb 0.250 0.834 0.166  0.01
H 0.500 0.500 0.500  0.00
H 0.000 0.500 0.500  0.00
O 0.750 0.040 0.960  0.06
O 0.250 0.960 0.040  0.06
F 0.750 0.317 0.683  0.03
F 0.250 0.683 0.317  0.03
F 0.675 0.965 0.597  0.00
F 0.825 0.403 0.035  0.00
F 0.325 0.035 0.403  0.00
F 0.175 0.597 0.965  0.00
F 0.030 0.143 0.779  0.00
F 0.470 0.221 0.857  0.00
F 0.970 0.857 0.221  0.00
F 0.530 0.779 0.143  0.00
F 0.976 0.644 0.602  0.00
F 0.524 0.398 0.356  0.00
F 0.024 0.356 0.398  0.00
F 0.476 0.602 0.644  0.00



# 14
CaLaIn2 after structural relaxation. Source: Alexandria, functional GGA-PBEsol.

As for the space group: Pmm2. The calculation puts the energy of formation at -1.00 eV per formula unit.

Cell: 3.653 4.825 6.704 Å, 90.00 90.00 90.00°
Element x y z (fractional)
Ca 0.500 0.500 0.789
In 0.000 0.000 0.983
In 0.500 0.500 0.261
La 0.000 0.000 0.467



# 15
LaOs4 after structural relaxation. Source: Alexandria, functional GGA-PBEsol.

As for the space group: I4/m. The calculation puts the energy of formation at 3.18 eV per formula unit.

Cell: 3.960 4.988 4.988 Å, 80.94 66.61 66.61°
Element x y z (fractional)
La 0.000 0.000 0.000
Os 0.597 0.578 0.228
Os 0.825 0.772 0.578
Os 0.403 0.422 0.772
Os 0.175 0.228 0.422



# 16
LiAlRu2 after structural relaxation. Source: Alexandria, functional GGA-PBEsol.

As for the space group: P2/m. The calculation puts the energy of formation at -0.09 eV per formula unit.

Cell: 2.669 4.083 4.825 Å, 90.00 97.48 90.00°
Element x y z (fractional)
Al 0.500 0.500 0.000
Li 0.000 0.500 0.500
Ru 0.770 0.000 0.738
Ru 0.230 0.000 0.262



# 17
TlFeRu after structural relaxation. Source: Alexandria, functional GGA-PBEsol.

As for the space group: P3m1. The calculation puts the energy of formation at 1.92 eV per formula unit.

Cell: 2.893 2.893 6.467 Å, 90.00 90.00 120.00°
Site moments in Bohr magnetons follow the coordinates.
Element x y z (fractional)
Fe 0.000 0.000 0.977  2.28
Ru 0.333 0.667 0.695  0.11
Tl 0.667 0.333 0.328  -0.01



# 18
Tc2HgW after structural relaxation. Source: Alexandria, functional GGA-PBEsol.

As for the space group: Cmmm. The calculation puts the energy of formation at 1.47 eV per formula unit.

Cell: 2.757 2.757 9.054 Å, 90.00 90.00 111.21°
Element x y z (fractional)
Hg 0.500 0.500 0.000
Tc 0.000 0.000 0.272
Tc 0.000 0.000 0.728
W 0.500 0.500 0.500



# 19
Ta2InCl after structural relaxation. Source: Alexandria, functional GGA-PBEsol.

The formation energy from raw total energies comes out at 0.383 eV/atom. As for the space group: Pmmm.

Cell: 2.948 4.932 5.153 Å, 90.00 90.00 90.00°
Element x y z (fractional)
Cl 0.500 0.500 0.000
In 0.000 0.500 0.500
Ta 0.000 0.000 0.000
Ta 0.500 0.000 0.500



# 20
Zn3PBr3 after structural relaxation. Source: Alexandria, functional GGA-PBEsol.

The formation energy from raw total energies comes out at -0.603 eV/atom. As for the space group: Pm.

Cell: 3.983 6.543 6.857 Å, 90.19 90.00 90.00°
Element x y z (fractional)
P 0.500 0.060 0.182
Zn 0.500 0.405 0.145
Zn 0.000 0.959 0.306
Zn 0.500 0.923 0.878
Br 0.000 0.041 0.676
Br 0.000 0.564 0.324
Br 0.500 0.557 0.823



| no. | N(E_F) (states/eV per cell) |
| --- | --- |
| 1 | 5.34 |
| 2 | 8.37 |
| 3 | 2.21 |
| 4 | 2.21 |
| 5 | 8.03 |
| 6 | 2.41 |
| 7 | 3.30 |
| 8 | 1.97 |
| 9 | 1.90 |
| 10 | 1.65 |
| 11 | 5.75 |
| 12 | 2.82 |
| 13 | 0.00 |
| 14 | 3.38 |
| 15 | 5.43 |
| 16 | 3.52 |
| 17 | 2.97 |
| 18 | 3.77 |
| 19 | 3.73 |
| 20 | 0.00 |